No. 1
DFT (GGA-PBE) results for a relaxed Ba5SrRh crystal.

Geometry as POSCAR:
```
Ba5SrRh
1.0
8.4431 -6.0485 0.0000
8.4431 6.0485 0.0000
-8.3151 0.0000 8.4598
Ba Sr Rh
10 2 2
Direct
0.9999 0.5003 0.2489 Ba
0.0001 0.4997 0.7511 Ba
0.1657 0.8343 0.7500 Ba
0.3123 0.3342 0.5726 Ba
0.3342 0.3123 0.0726 Ba
0.4997 0.0001 0.2511 Ba
0.5003 0.9999 0.7489 Ba
0.6658 0.6877 0.9274 Ba
0.6877 0.6658 0.4274 Ba
0.8343 0.1657 0.2500 Ba
0.1840 0.8159 0.2500 Sr
0.8159 0.1840 0.7500 Sr
0.0000 0.5000 0.5000 Rh
0.5000 0.0000 0.0000 Rh
```

Computed properties:
energy of formation from the pure elements: 32 kJ/mol of formula units
magnetic moment: 0.00 μB per formula unit
V: 864 Å³/cell

***

No. 2
DFT (GGA-PBE) results for a relaxed PaTeAu crystal.

Geometry as POSCAR:
```
PaTeAu
1.0
4.8162 0.0000 0.0000
-2.4081 4.1710 0.0000
0.0000 0.0000 3.8397
Pa Te Au
1 1 1
Direct
0.0000 0.0000 0.0000 Pa
0.3333 0.6667 0.5477 Te
0.6667 0.3333 0.2551 Au
```

Computed properties:
ΔE to the lowest computed polymorph: 0.209 eV per atom
magnetic moment: 1.55 μB per formula unit
V: 77 Å³/cell
raw formation energy: -35.9 kJ per mole of atoms

***

No. 3
DFT (GGA-PBE) results for a relaxed ZrPtOF2 crystal.

Geometry as POSCAR:
```
ZrPtOF2
1.0
4.2450 0.0000 0.0000
0.0000 4.2450 0.0000
0.0000 0.0000 4.1125
Zr Pt O F
1 1 1 2
Direct
0.0000 0.0000 0.0000 Zr
0.5000 0.5000 0.5000 Pt
0.0000 0.0000 0.5000 O
0.0000 0.5000 0.0000 F
0.5000 0.0000 0.0000 F
```

Computed properties:
ΔE to the lowest computed polymorph: 0.000 eV per atom
magnetic moment: 0.19 μB per formula unit
V: 74 Å³/cell
raw formation energy: -173.0 kJ per mole of atoms

***

No. 4
DFT (GGA-PBE) results for a relaxed MgAs5 crystal.

Geometry as POSCAR:
```
MgAs5
1.0
5.2549 0.0000 0.0000
-2.6275 4.5509 0.0000
0.0000 0.0000 5.0131
Mg As
1 5
Direct
0.0000 0.0000 0.0000 Mg
0.0000 0.7149 0.5000 As
0.2851 0.2851 0.5000 As
0.3333 0.6667 0.0000 As
0.6667 0.3333 0.0000 As
0.7149 0.0000 0.5000 As
```

Computed properties:
ΔE to the lowest computed polymorph: 0.177 eV per atom
energy of formation from the pure elements: 122 kJ/mol of formula units
magnetic moment: 0.00 μB per formula unit
V: 120 Å³/cell

***

No. 5
DFT (GGA-PBE) results for a relaxed Sr2AuN crystal.

Geometry as POSCAR:
```
Sr2AuN
1.0
3.7832 0.0000 0.0000
0.0000 19.2330 0.0000
0.0000 0.0000 5.3125
Sr Au N
8 4 4
Direct
0.0000 0.1009 0.2500 Sr
0.0000 0.2853 0.2500 Sr
0.0000 0.7147 0.7500 Sr
0.0000 0.8991 0.7500 Sr
0.5000 0.2147 0.7500 Sr
0.5000 0.3991 0.7500 Sr
0.5000 0.6009 0.2500 Sr
0.5000 0.7853 0.2500 Sr
0.0000 0.4604 0.2500 Au
0.0000 0.5396 0.7500 Au
0.5000 0.0396 0.7500 Au
0.5000 0.9604 0.2500 Au
0.0000 0.3074 0.7500 N
0.0000 0.6926 0.2500 N
0.5000 0.1926 0.2500 N
0.5000 0.8074 0.7500 N
```

Computed properties:
magnetic moment: 0.00 μB per formula unit
V: 387 Å³/cell
raw formation energy: -62.0 kJ per mole of atoms

***

No. 6
DFT (GGA-PBE) results for a relaxed AgAuBr4 crystal.

Geometry as POSCAR:
```
AgAuBr4
1.0
7.9138 0.0000 0.0000
0.0000 7.9969 0.0000
-3.8800 0.0000 6.7721
Ag Au Br
2 2 8
Direct
0.0000 0.0000 0.0000 Ag
0.5000 0.5000 0.0000 Ag
0.0000 0.0000 0.5000 Au
0.5000 0.5000 0.5000 Au
0.2450 0.5000 0.1446 Br
0.2455 0.5000 0.5991 Br
0.2545 0.0000 0.4009 Br
0.2550 0.0000 0.8554 Br
0.7450 0.0000 0.1446 Br
0.7455 0.0000 0.5991 Br
0.7545 0.5000 0.4009 Br
0.7550 0.5000 0.8554 Br
```

Computed properties:
magnetic moment: 0.00 μB per formula unit
V: 429 Å³/cell
raw formation energy: -20.4 kJ per mole of atoms

***

No. 7
DFT (GGA-PBE) results for a relaxed PmDyHoEr crystal.

Geometry as POSCAR:
```
PmDyHoEr
1.0
3.5780 0.0000 0.0000
-1.7890 3.0986 0.0000
0.0000 0.0000 34.4855
Pm Dy Ho Er
3 3 3 3
Direct
0.0000 0.0000 0.0000 Pm
0.3333 0.6667 0.6667 Pm
0.6667 0.3333 0.3333 Pm
0.0000 0.0000 0.5810 Dy
0.3333 0.6667 0.2477 Dy
0.6667 0.3333 0.9144 Dy
0.0000 0.0000 0.1652 Ho
0.3333 0.6667 0.8319 Ho
0.6667 0.3333 0.4985 Ho
0.0000 0.0000 0.7503 Er
0.3333 0.6667 0.4169 Er
0.6667 0.3333 0.0836 Er
```

Computed properties:
ΔE to the lowest computed polymorph: 0.000 eV per atom
energy of formation from the pure elements: 6 kJ/mol of formula units
magnetic moment: 0.00 μB per formula unit
V: 382 Å³/cell

***

No. 8
DFT (GGA-PBE) results for a relaxed SrYSi3 crystal.

Geometry as POSCAR:
```
SrYSi3
1.0
5.2972 0.0000 0.0000
0.0000 5.2972 0.0000
0.0000 0.0000 5.2972
Sr Y Si
1 1 3
Direct
0.0000 0.0000 0.0000 Sr
0.5000 0.5000 0.5000 Y
0.0000 0.5000 0.5000 Si
0.5000 0.0000 0.5000 Si
0.5000 0.5000 0.0000 Si
```

Computed properties:
ΔE to the lowest computed polymorph: 0.888 eV per atom
magnetic moment: 0.00 μB per formula unit
V: 149 Å³/cell
raw formation energy: 34.1 kJ per mole of atoms